1.
Here is a geometry-optimized Zr2AsPb structure from Alexandria. Energies are from PBE-GGA.

Structure (POSCAR):
```
Zr2AsPb
1.0
4.1198 0.0000 0.0000
0.0000 5.3125 0.0000
0.0000 0.0000 4.0361
Pb As Zr
1 1 2
Direct
0.0000 0.5000 0.5000
0.5000 0.0000 0.5000
0.5000 0.5000 0.0000
0.0000 0.0000 0.0000
```

## Properties
- total energy (eV/atom) = -6.728
- ΔE to the lowest computed polymorph (eV per formula unit) = 1.095
- energy of formation from the pure elements (eV/atom) = -0.36


2.
Here is a geometry-optimized Sc2ZnNi2 structure from Alexandria. Energies are from PBE-GGA.

Structure (POSCAR):
```
Sc2ZnNi2
1.0
5.0380 0.0000 0.0000
-2.5190 4.4899 -0.0044
0.0000 -2.0715 7.1126
Sc Zn Ni
4 2 4
Direct
0.1956 0.7044 0.3525
0.4912 0.2956 0.1475
0.8044 0.2956 0.6475
0.5088 0.7044 0.8525
0.8261 0.0000 0.2500
0.1739 0.0000 0.7500
0.9954 0.2727 0.0037
0.2774 0.2727 0.5037
0.7226 0.7273 0.4963
0.0046 0.7273 0.9963
```

## Properties
- total energy (eV/atom) = -5.582
- energy of formation from the pure elements (eV/atom) = -0.48


3.
Here is a geometry-optimized Ti2BeIn2 structure from Alexandria. Energies are from PBE-GGA.

Structure (POSCAR):
```
Ti2BeIn2
1.0
-5.5189 -1.6904 -2.9223
3.3104 -3.8079 -4.0493
-0.4615 -3.4505 2.8674
Ti Be In
4 2 4
Direct
0.6492 0.1492 0.0000
0.3508 0.8508 0.0000
0.8508 0.6492 0.0000
0.1492 0.3508 0.0000
0.5000 0.5000 0.0000
0.0000 0.0000 0.0000
0.8359 0.3359 0.5000
0.6641 0.8359 0.5000
0.3359 0.1641 0.5000
0.1641 0.6641 0.5000
```

## Properties
- total energy (eV/atom) = -4.832
- ΔE to the lowest computed polymorph (eV per formula unit) = 0.000
- energy of formation from the pure elements (eV/atom) = 0.17


4.
Here is a geometry-optimized RbHgC2 structure from Alexandria. Energies are from PBE-GGA.

Structure (POSCAR):
```
RbHgC2
1.0
-2.7873 3.6334 0.1626
-2.1188 -1.4556 -3.7932
-7.5454 -3.0154 2.6043
C Rb Hg
4 2 2
Direct
0.8750 0.1250 0.7500
0.8750 0.1250 0.2500
0.3750 0.1250 0.7500
0.8750 0.6250 0.2500
0.5000 0.5000 0.0000
0.2500 0.7500 0.5000
0.7500 0.2500 0.5000
0.0000 0.0000 0.0000
```

## Properties
- total energy (eV/atom) = -2.792
- energy of formation from the pure elements (eV/atom) = 2.14


5.
Here is a geometry-optimized ScSiPb2 structure from Alexandria. Energies are from PBE-GGA.

Structure (POSCAR):
```
ScSiPb2
1.0
-5.0360 -0.3040 3.2964
0.2570 -2.5436 5.4575
3.0379 4.1553 -3.1343
Si Pb Sc
1 2 1
Direct
0.7500 0.2500 0.5000
0.0000 0.0000 0.0000
0.5000 0.5000 0.0000
0.2500 0.7500 0.5000
```

## Properties
- uncorrected formation energy (eV/atom) = 0.054
- total energy (eV/atom) = -4.739


6.
Here is a geometry-optimized Nd2MgP3Ir4 structure from Alexandria. Energies are from PBE-GGA.

Structure (POSCAR):
```
Nd2MgP3Ir4
1.0
-3.7402 0.6770 -1.4054
0.1972 -3.4165 -2.1705
-4.0467 -5.4174 8.1596
Nd Ir P Mg
2 4 3 1
Direct
0.0000 0.5000 0.7578
0.5000 0.0000 0.2422
0.0000 0.0000 0.0000
0.0000 0.5000 0.3478
0.5000 0.0000 0.6522
0.5000 0.5000 0.0000
0.0000 0.0000 0.5000
0.0000 0.5000 0.1301
0.5000 0.0000 0.8699
0.5000 0.5000 0.5000
```

## Properties
- total energy (eV/atom) = -7.155
- energy of formation from the pure elements (eV/atom) = -0.87


7.
Here is a geometry-optimized Nb2Te2Ir structure from Alexandria. Energies are from PBE-GGA.

Structure (POSCAR):
```
Nb2Te2Ir
1.0
7.5634 0.0000 0.0000
0.0000 7.5634 0.0000
0.0000 0.0000 3.4802
Nb Ir Te
4 2 4
Direct
0.3615 0.1385 0.5000
0.6385 0.8615 0.5000
0.8615 0.3615 0.5000
0.1385 0.6385 0.5000
0.5000 0.5000 0.0000
0.0000 0.0000 0.0000
0.3399 0.8399 0.0000
0.1601 0.3399 0.0000
0.6601 0.1601 0.0000
0.8399 0.6601 0.0000
```

## Properties
- uncorrected formation energy (eV/atom) = 0.328
- total energy (eV/atom) = -6.729
- ΔE to the lowest computed polymorph (eV per formula unit) = 0.000


8.
Here is a geometry-optimized LiPuBe2H8 structure from Alexandria. Energies are from PBE-GGA.

Structure (POSCAR):
```
LiPuBe2H8
1.0
4.2898 0.0000 0.0000
-2.1449 3.7151 0.0000
0.0000 0.0000 6.4719
H Li Be Pu
8 1 2 1
Direct
0.3205 0.2769 0.2868
0.6667 0.3333 0.0090
0.9564 0.6795 0.2868
0.3333 0.6667 0.9910
0.0436 0.3205 0.7132
0.6795 0.7231 0.7132
0.7231 0.0436 0.2868
0.2769 0.9564 0.7132
0.0000 0.0000 0.5000
0.6667 0.3333 0.2399
0.3333 0.6667 0.7601
0.0000 0.0000 0.0000
```

## Properties
- total energy (eV/atom) = -4.445


9.
Here is a geometry-optimized ErHPd2 structure from Alexandria. Energies are from PBE-GGA.

Structure (POSCAR):
```
ErHPd2
1.0
3.0955 0.0000 0.0000
1.5478 2.6808 0.0000
1.5478 0.8936 7.5073
Pd Er H
2 1 1
Direct
0.8828 0.8828 0.3515
0.1172 0.1172 0.6485
0.0000 0.0000 0.0000
0.5000 0.5000 0.5000
```

## Properties
- total energy (eV/atom) = -4.550


10.
Here is a geometry-optimized K2Sn2Se structure from Alexandria. Energies are from PBE-GGA.

Structure (POSCAR):
```
K2Sn2Se
1.0
4.1629 0.0000 0.0000
0.0000 4.1629 0.0000
2.0815 2.0815 10.6433
K Sn Se
2 2 1
Direct
0.5805 0.5805 0.8390
0.4195 0.4195 0.1610
0.7500 0.2500 0.5000
0.2500 0.7500 0.5000
0.0000 0.0000 0.0000
```

## Properties
- uncorrected formation energy (eV/atom) = -0.396
- total energy (eV/atom) = -3.133


11.
Here is a geometry-optimized CeY2Ru structure from Alexandria. Energies are from PBE-GGA.

Structure (POSCAR):
```
CeY2Ru
1.0
-2.1679 0.5416 -2.5974
-2.4410 -1.7216 1.6784
-2.7472 7.6947 3.8974
Ce Y Ru
1 2 1
Direct
0.5000 0.5000 0.5000
0.0000 0.0000 0.1828
0.0000 0.0000 0.8172
0.5000 0.5000 0.0000
```

## Properties
- total energy (eV/atom) = -7.174
- ΔE to the lowest computed polymorph (eV per formula unit) = 0.714
- energy of formation from the pure elements (eV/atom) = -0.14


12.
Here is a geometry-optimized ScAlRu2 structure from Alexandria. Energies are from PBE-GGA.

Structure (POSCAR):
```
ScAlRu2
1.0
4.4628 0.0000 0.0000
2.2314 3.8649 0.0000
2.2314 1.2883 3.6439
Sc Ru Al
1 2 1
Direct
0.7500 0.7500 0.7500
0.2500 0.2500 0.2500
0.0000 0.0000 0.0000
0.5000 0.5000 0.5000
```

## Properties
- total energy (eV/atom) = -7.351
- energy of formation from the pure elements (eV/atom) = -0.19


13.
Here is a geometry-optimized CoRe structure from Alexandria. Energies are from PBE-GGA.

Structure (POSCAR):
```
CoRe
1.0
-3.5357 4.3183 -4.5112
1.3794 -4.5160 -5.4040
-6.0907 -3.5295 1.3949
Re Co
8 8
Direct
0.3581 0.6419 0.6419
0.8581 0.8581 0.8581
0.6419 0.3581 0.6419
0.3581 0.3581 0.3581
0.6419 0.6419 0.3581
0.1419 0.8581 0.1419
0.8581 0.1419 0.1419
0.1419 0.1419 0.8581
0.6777 0.3223 0.3223
0.6777 0.6777 0.6777
0.3223 0.6777 0.3223
0.1777 0.8223 0.8223
0.1777 0.1777 0.1777
0.8223 0.8223 0.1777
0.8223 0.1777 0.8223
0.3223 0.3223 0.6777
```

## Properties
- total energy (eV/atom) = -8.112
- energy of formation from the pure elements (eV/atom) = 1.67


14.
Here is a geometry-optimized TiZn3Tc structure from Alexandria. Energies are from PBE-GGA.

Structure (POSCAR):
```
TiZn3Tc
1.0
-3.6517 0.7372 -2.8289
-2.7127 -2.5416 2.8395
-1.0895 3.8572 2.4116
Tc Zn Ti
1 3 1
Direct
0.0000 0.0000 0.0000
0.0000 0.5000 0.0000
0.0000 0.0000 0.5000
0.5000 0.0000 0.0000
0.5000 0.5000 0.5000
```

## Properties
- total energy (eV/atom) = -3.531
- ΔE to the lowest computed polymorph (eV per formula unit) = 0.000
- energy of formation from the pure elements (eV/atom) = 0.89


15.
Here is a geometry-optimized Ce4Mg structure from Alexandria. Energies are from PBE-GGA.

Structure (POSCAR):
```
Ce4Mg
1.0
2.9870 0.0015 -0.7448
-0.4335 4.8834 -1.7293
0.5161 0.2660 8.4362
Ce Mg
4 1
Direct
0.1923 0.1925 0.8845
0.8078 0.8075 0.1155
0.1090 0.6089 0.7183
0.8910 0.3911 0.2817
0.5000 0.0000 0.5000
```

## Properties
- total energy (eV/atom) = -5.032
- ΔE to the lowest computed polymorph (eV per formula unit) = 0.000
- energy of formation from the pure elements (eV/atom) = 0.03


16.
Here is a geometry-optimized Ce4IrSBr2 structure from Alexandria. Energies are from PBE-GGA.

Structure (POSCAR):
```
Ce4IrSBr2
1.0
-1.0717 1.3435 -3.6209
-6.6331 1.5194 2.5271
4.3420 6.1524 0.9976
Ir S Ce Br
1 1 4 2
Direct
0.5000 0.5000 0.0000
0.0000 0.0000 0.0000
0.5000 0.7667 0.7839
0.0000 0.2692 0.7930
0.5000 0.2333 0.2161
0.0000 0.7308 0.2070
0.0000 0.5000 0.5000
0.5000 0.0000 0.5000
```

## Properties
- uncorrected formation energy (eV/atom) = -1.292
- total energy (eV/atom) = -6.301


17.
Here is a geometry-optimized MgReSeN2 structure from Alexandria. Energies are from PBE-GGA.

Structure (POSCAR):
```
MgReSeN2
1.0
-0.3778 -3.7870 -0.5189
2.6607 0.1138 -2.7678
3.5595 -0.8194 3.3881
N Re Mg Se
2 1 1 1
Direct
0.0000 0.5000 0.0000
0.5000 0.0000 0.0000
0.5000 0.5000 0.5000
0.0000 0.0000 0.0000
0.0000 0.0000 0.5000
```

## Properties
- uncorrected formation energy (eV/atom) = 1.938
- total energy (eV/atom) = -4.897
- ΔE to the lowest computed polymorph (eV per formula unit) = 9.423


18.
Here is a geometry-optimized PmGa6Au12 structure from Alexandria. Energies are from PBE-GGA.

Structure (POSCAR):
```
PmGa6Au12
1.0
8.0023 0.0000 2.5654
-3.7491 6.1372 2.5191
0.5040 0.0000 7.6035
Ga Au Pm
6 12 1
Direct
0.4926 0.4959 0.2535
0.9967 0.2506 0.4959
0.5074 0.5041 0.7465
0.2539 0.7465 0.7494
0.0033 0.7494 0.5041
0.7461 0.2535 0.2506
0.1486 0.3832 0.0801
0.5204 0.8998 0.2715
0.2287 0.0801 0.5367
0.2346 0.4633 0.6168
0.3794 0.1712 0.1002
0.2081 0.7285 0.1712
0.7713 0.9199 0.4633
0.7654 0.5367 0.3832
0.7919 0.2715 0.8288
0.6206 0.8288 0.8998
0.4796 0.1002 0.7285
0.8514 0.6168 0.9199
0.0000 0.0000 0.0000
```

## Properties
- total energy (eV/atom) = -3.519
- ΔE to the lowest computed polymorph (eV per formula unit) = 0.000
- energy of formation from the pure elements (eV/atom) = -0.24


19.
Here is a geometry-optimized NdDyRu structure from Alexandria. Energies are from PBE-GGA.

Structure (POSCAR):
```
NdDyRu
1.0
3.7053 0.0000 0.0000
0.0000 4.7568 0.0000
0.0000 -2.3784 4.1195
Dy Nd Ru
1 1 1
Direct
0.2632 0.3333 0.6667
0.7136 0.6667 0.3333
0.0232 0.0000 0.0000
```

## Properties
- total energy (eV/atom) = -6.279
- ΔE to the lowest computed polymorph (eV per formula unit) = 0.583
- energy of formation from the pure elements (eV/atom) = -0.06


20.
Here is a geometry-optimized LaY2Re structure from Alexandria. Energies are from PBE-GGA.

Structure (POSCAR):
```
LaY2Re
1.0
4.1266 0.0000 0.0000
0.0000 3.7575 -0.0045
0.0000 2.3668 7.4116
Y Re La
2 1 1
Direct
0.5000 0.3140 0.2043
0.0000 0.9850 0.9433
0.5000 0.5944 0.8073
0.0000 0.6066 0.5451
```

## Properties
- total energy (eV/atom) = -7.278
- ΔE to the lowest computed polymorph (eV per formula unit) = 0.513
- energy of formation from the pure elements (eV/atom) = 0.30